Density functional theory data (PBE) for crystalline CaZr2Os at its relaxed geometry.

Results
**Total magnetization**: 0.00 Bohr magnetons per cell
**Relative energy among the computed polymorphs**: 0.049 eV/atom
**ΔH_f (0 K)**: 0.13 eV/f.u.
**Density**: 7.47 Mg/m³
**Space-group type**: P4mm

Cell lengths 3.3420, 3.3420, 8.2154 Å; angles 90.00, 90.00, 90.00 degrees
Closest atoms and distances in Å follow each position.
Sites, in units of the cell vectors:
Zr (0.0000, 0.0000, 0.9566)  4 Os 2.74
Ca (0.0000, 0.0000, 0.5493)  4 Os 3.07, 4 Ca 3.34, 1 Zr 3.35
Zr (0.5000, 0.5000, 0.2064)  8 Zr 3.13-3.34, 1 Os 3.44
Os (0.5000, 0.5000, 0.7878)  4 Zr 2.74